# 1
# LaCe4Er, relaxed, DFT PBE
# Density of states at the Fermi level in states/eV/cell: 77.95
# Electronic total energy in eV per atom: -5.345
data_LaCe4Er
_cell_length_a 8.9706
_cell_length_b 8.9706
_cell_length_c 8.9706
_cell_angle_alpha 90.00
_cell_angle_beta 90.00
_cell_angle_gamma 90.00
_space_group_name_H-M_alt 'F -4 3 m'
_space_group_IT_number 216
_space_group_name_Hall 'F -4 2 3'
loop_
_atom_site_label
_atom_site_type_symbol
_atom_site_fract_x
_atom_site_fract_y
_atom_site_fract_z
La1 La 0.0000 0.0000 0.0000
Ce1 Ce 0.1199 0.1199 0.3801
Er1 Er 0.2500 0.2500 0.7500

# 2
# Ho12InPd5, relaxed, DFT PBE
# Density of states at the Fermi level in states/eV/cell: 33.66
# Electronic total energy in eV per atom: -5.238
data_Ho12InPd5
_cell_length_a 9.4584
_cell_length_b 9.6202
_cell_length_c 10.2401
_cell_angle_alpha 90.00
_cell_angle_beta 90.00
_cell_angle_gamma 90.00
_space_group_name_H-M_alt 'I m m m'
_space_group_IT_number 71
_space_group_name_Hall '-I 2 2'
loop_
_atom_site_label
_atom_site_type_symbol
_atom_site_fract_x
_atom_site_fract_y
_atom_site_fract_z
Ho1 Ho 0.0000 0.1902 0.2270
Ho2 Ho 0.2011 0.5000 0.1740
Ho3 Ho 0.2141 0.3190 0.5000
In1 In 0.0000 0.0000 0.5000
Pd1 Pd 0.0000 0.0000 0.0000
Pd2 Pd 0.0000 0.3485 0.0000
Pd3 Pd 0.0000 0.5000 0.3665

# 3
# Rb2ZrCu, relaxed, DFT PBE
# Density of states at the Fermi level in states/eV/cell: 124.89
# Electronic total energy in eV per atom: -2.270
# Excess energy over the best structure of this formula in the dataset in eV/atom: 0.363
data_Rb2ZrCu
_cell_length_a 8.6590
_cell_length_b 8.6590
_cell_length_c 8.6590
_cell_angle_alpha 90.00
_cell_angle_beta 90.00
_cell_angle_gamma 90.00
_space_group_name_H-M_alt 'F m -3 m'
_space_group_IT_number 225
_space_group_name_Hall '-F 4 2 3'
loop_
_atom_site_label
_atom_site_type_symbol
_atom_site_fract_x
_atom_site_fract_y
_atom_site_fract_z
Rb1 Rb 0.2500 0.2500 0.2500
Zr1 Zr 0.0000 0.0000 0.0000
Cu1 Cu 0.0000 0.0000 0.5000

- What is the electronic total energy in the third record?
  -2.270 eV per atom